No. 1
Below is Ta2GaC after structural relaxation, with properties calculated at the PBE-GGA level. Values from VASP.

Summary:
Offset from the most stable computed form   0.0 meV/atom
Symmetry   No. 194
Formation energy from the elements   -0.519 eV per atom
Density of states at the Fermi level   0.323 states/eV/atom
Total moment   0.00 μB/f.u.

The structure in Quantum ESPRESSO input format:
```
&SYSTEM
  ibrav = 0, nat = 8, ntyp = 3
/
ATOMIC_SPECIES
Ta 180.95 Ta.upf
Ga 69.72 Ga.upf
C 12.01 C.upf
CELL_PARAMETERS angstrom
3.1379 0.0000 0.0000
-1.5689 2.7175 0.0000
0.0000 0.0000 13.5938
ATOMIC_POSITIONS crystal
Ta 0.3333 0.6667 0.0896
Ta 0.3333 0.6667 0.4104
Ta 0.6667 0.3333 0.5896
Ta 0.6667 0.3333 0.9104
Ga 0.3333 0.6667 0.7500
Ga 0.6667 0.3333 0.2500
C 0.0000 0.0000 0.0000
C 0.0000 0.0000 0.5000
```


No. 2
Below is LiNd2Ir after structural relaxation, with properties calculated at the PBE-GGA level. Values from VASP.

Summary:
Offset from the most stable computed form   90.9 meV/atom
Symmetry   No. 160
Formation energy from the elements   -0.305 eV per atom
Density of states at the Fermi level   0.550 states/eV/atom
Total moment   0.00 μB/f.u.

The structure in Quantum ESPRESSO input format:
```
&SYSTEM
  ibrav = 0, nat = 4, ntyp = 3
/
ATOMIC_SPECIES
Li 6.94 Li.upf
Nd 144.24 Nd.upf
Ir 192.22 Ir.upf
CELL_PARAMETERS angstrom
2.1041 1.2148 8.1293
-2.1041 1.2148 8.1293
0.0000 -2.4296 8.1293
ATOMIC_POSITIONS crystal
Li 0.0000 0.0000 0.0000
Nd 0.5567 0.5567 0.5567
Nd 0.7689 0.7689 0.7689
Ir 0.1622 0.1622 0.1622
```


No. 3
Below is ZnGaCuTe2 after structural relaxation, with properties calculated at the PBE-GGA level. Values from VASP.

Summary:
Symmetry   No. 123
Density of states at the Fermi level   0.636 states/eV/atom
Total moment   0.00 μB/f.u.
ΔE_f (raw)   0.580 eV per atom

The structure in Quantum ESPRESSO input format:
```
&SYSTEM
  ibrav = 0, nat = 5, ntyp = 4
/
ATOMIC_SPECIES
Zn 65.41 Zn.upf
Ga 69.72 Ga.upf
Cu 63.55 Cu.upf
Te 127.60 Te.upf
CELL_PARAMETERS angstrom
5.4839 0.0000 0.0000
0.0000 5.4839 0.0000
0.0000 0.0000 4.6403
ATOMIC_POSITIONS crystal
Zn 0.0000 0.0000 0.0000
Ga 0.0000 0.0000 0.5000
Cu 0.5000 0.5000 0.0000
Te 0.0000 0.5000 0.5000
Te 0.5000 0.0000 0.5000
```


No. 4
Below is La2DyHg after structural relaxation, with properties calculated at the PBE-GGA level. Values from VASP.

Summary:
Offset from the most stable computed form   0.0 meV/atom
Symmetry   No. 139
Formation energy from the elements   -0.240 eV per atom
Density of states at the Fermi level   1.139 states/eV/atom
Total moment   0.00 μB/f.u.

The structure in Quantum ESPRESSO input format:
```
&SYSTEM
  ibrav = 0, nat = 8, ntyp = 3
/
ATOMIC_SPECIES
La 138.91 La.upf
Dy 162.50 Dy.upf
Hg 200.59 Hg.upf
CELL_PARAMETERS angstrom
-2.6634 2.6634 8.8988
2.6634 -2.6634 8.8988
2.6634 2.6634 -8.8988
ATOMIC_POSITIONS crystal
La 0.0000 0.5000 0.5000
La 0.1370 0.1370 0.0000
La 0.5000 0.0000 0.5000
La 0.8630 0.8630 0.0000
Dy 0.3536 0.3536 0.0000
Dy 0.6464 0.6464 0.0000
Hg 0.2500 0.7500 0.5000
Hg 0.7500 0.2500 0.5000
```


No. 5
Below is Ba6HgRh after structural relaxation, with properties calculated at the PBE-GGA level. Values from VASP.

Summary:
Offset from the most stable computed form   3.0 meV/atom
Symmetry   No. 148
Formation energy from the elements   -0.221 eV per atom
Density of states at the Fermi level   0.980 states/eV/atom
Total moment   0.00 μB/f.u.

The structure in Quantum ESPRESSO input format:
```
&SYSTEM
  ibrav = 0, nat = 8, ntyp = 3
/
ATOMIC_SPECIES
Ba 137.33 Ba.upf
Hg 200.59 Hg.upf
Rh 102.91 Rh.upf
CELL_PARAMETERS angstrom
3.9874 2.3021 7.7231
-3.9874 2.3021 7.7231
0.0000 -4.6042 7.7231
ATOMIC_POSITIONS crystal
Ba 0.1025 0.4305 0.7334
Ba 0.2666 0.8975 0.5695
Ba 0.4305 0.7334 0.1025
Ba 0.5695 0.2666 0.8975
Ba 0.7334 0.1025 0.4305
Ba 0.8975 0.5695 0.2666
Hg 0.0000 0.0000 0.0000
Rh 0.5000 0.5000 0.5000
```


No. 6
Below is PrHfI after structural relaxation, with properties calculated at the PBE-GGA level. Values from VASP.

Summary:
Symmetry   No. 11
Density of states at the Fermi level   0.908 states/eV/atom
Total moment   0.00 μB/f.u.
ΔE_f (raw)   0.101 eV per atom

The structure in Quantum ESPRESSO input format:
```
&SYSTEM
  ibrav = 0, nat = 6, ntyp = 3
/
ATOMIC_SPECIES
Pr 140.91 Pr.upf
Hf 178.49 Hf.upf
I 126.90 I.upf
CELL_PARAMETERS angstrom
6.0210 0.0000 0.0000
0.0000 4.8058 0.0000
-1.5827 0.0000 6.4277
ATOMIC_POSITIONS crystal
Pr 0.2352 0.2500 0.4250
Pr 0.7648 0.7500 0.5750
Hf 0.0051 0.2500 0.8982
Hf 0.9949 0.7500 0.1018
I 0.3178 0.7500 0.7938
I 0.6822 0.2500 0.2062
```


No. 7
Below is RePCS2 after structural relaxation, with properties calculated at the PBE-GGA level. Values from VASP.

Summary:
Offset from the most stable computed form   354.7 meV/atom
Symmetry   No. 123
Density of states at the Fermi level   0.814 states/eV/atom
Total moment   1.68 μB/f.u.
ΔE_f (raw)   1.733 eV per atom

The structure in Quantum ESPRESSO input format:
```
&SYSTEM
  ibrav = 0, nat = 5, ntyp = 4
/
ATOMIC_SPECIES
Re 186.21 Re.upf
P 30.97 P.upf
C 12.01 C.upf
S 32.06 S.upf
CELL_PARAMETERS angstrom
4.5464 0.0000 0.0000
0.0000 4.5464 0.0000
0.0000 0.0000 4.7542
ATOMIC_POSITIONS crystal
Re 0.0000 0.0000 0.0000
P 0.0000 0.0000 0.5000
C 0.5000 0.5000 0.5000
S 0.0000 0.5000 0.0000
S 0.5000 0.0000 0.0000
```


No. 8
Below is LaZn2W after structural relaxation, with properties calculated at the PBE-GGA level. Values from VASP.

Summary:
Offset from the most stable computed form   442.2 meV/atom
Symmetry   No. 216
Formation energy from the elements   0.686 eV per atom
Density of states at the Fermi level   1.207 states/eV/atom
Total moment   1.02 μB/f.u.

The structure in Quantum ESPRESSO input format:
```
&SYSTEM
  ibrav = 0, nat = 4, ntyp = 3
/
ATOMIC_SPECIES
La 138.91 La.upf
Zn 65.41 Zn.upf
W 183.84 W.upf
CELL_PARAMETERS angstrom
0.0000 3.4132 3.4132
3.4132 0.0000 3.4132
3.4132 3.4132 0.0000
ATOMIC_POSITIONS crystal
La 0.0000 0.0000 0.0000
Zn 0.2500 0.2500 0.2500
Zn 0.5000 0.5000 0.5000
W 0.7500 0.7500 0.7500
```


No. 9
Below is MgBe2Ru after structural relaxation, with properties calculated at the PBE-GGA level. Values from VASP.

Summary:
Symmetry   No. 12
Formation energy from the elements   -0.006 eV per atom
Density of states at the Fermi level   0.360 states/eV/atom
Total moment   0.00 μB/f.u.

The structure in Quantum ESPRESSO input format:
```
&SYSTEM
  ibrav = 0, nat = 4, ntyp = 3
/
ATOMIC_SPECIES
Mg 24.30 Mg.upf
Be 9.01 Be.upf
Ru 101.07 Ru.upf
CELL_PARAMETERS angstrom
3.8947 -1.6248 0.0000
3.8947 1.6248 0.0000
-1.5713 0.0000 4.1077
ATOMIC_POSITIONS crystal
Mg 0.0000 0.0000 0.0000
Be 0.2224 0.2224 0.6382
Be 0.7776 0.7776 0.3618
Ru 0.5000 0.5000 0.5000
```


No. 10
Below is LuPb3 after structural relaxation, with properties calculated at the PBE-GGA level. Values from VASP.

Summary:
Symmetry   No. 139
Formation energy from the elements   -0.157 eV per atom
Density of states at the Fermi level   0.469 states/eV/atom
Total moment   0.00 μB/f.u.

The structure in Quantum ESPRESSO input format:
```
&SYSTEM
  ibrav = 0, nat = 4, ntyp = 2
/
ATOMIC_SPECIES
Lu 174.97 Lu.upf
Pb 207.20 Pb.upf
CELL_PARAMETERS angstrom
-2.3076 2.3076 5.4159
2.3076 -2.3076 5.4159
2.3076 2.3076 -5.4159
ATOMIC_POSITIONS crystal
Lu 0.0000 0.0000 0.0000
Pb 0.2500 0.7500 0.5000
Pb 0.5000 0.5000 0.0000
Pb 0.7500 0.2500 0.5000
```